Computed, not measured: a geometry-optimized Na3Dy3ZrS8 structure at the PBE level of DFT.

Results
Its crystal system is trigonal. Its raw formation energy is -1785 meV per atom. The value obtained for the theoretical density is 4.2 g cm⁻³.

a b c (Å): 7.8584 7.8581 8.1347
angles (deg): 118.90 90.00 120.00
Sites, in units of the cell vectors:
Na 0.0000 0.0000 0.0000
Na 0.0000 0.5000 0.0000
Na 0.5000 0.5000 0.0000
Dy 0.5000 0.0000 0.5000
Dy 0.5000 0.5000 0.5000
Dy 0.0000 0.5000 0.5000
Zr 0.0000 0.0000 0.5000
S 0.2577 0.5155 0.2733
S 0.7423 0.4845 0.7267
S 0.7689 0.5378 0.2830
S 0.2311 0.4622 0.7170
S 0.7689 0.0139 0.2830
S 0.2311 0.9861 0.7170
S 0.2450 0.0139 0.2830
S 0.7550 0.9861 0.7170